(A)
Entry from Alexandria via LeMat-Bulk: CsRu3Br after structural relaxation (GGA-PBE).

Cell and atoms, written as extended XYZ:
```
5
Lattice="4.853 0.000 0.000 0.000 4.853 0.000 0.000 0.000 4.853" Properties=species:S:1:pos:R:3 pbc="T T T"
Cs 2.427 2.427 2.427
Ru 0.000 2.427 0.000
Br 0.000 0.000 0.000
Ru 0.000 0.000 2.427
Ru 2.427 0.000 0.000
```

Output
Fermi-level density of states	8.5	states/eV/f.u.
volume	114.3	Å³/cell
magnetic moment	4.30	μB/cell

---

(B)
Entry from Alexandria via LeMat-Bulk: CsRu3Br after structural relaxation (GGA-PBE).

Cell and atoms, written as extended XYZ:
```
5
Lattice="-3.343 -0.505 3.820 1.968 -4.572 1.118 3.313 2.207 3.190" Properties=species:S:1:pos:R:3 pbc="T T T"
Ru 0.984 -2.286 0.559
Ru 1.656 1.103 1.595
Br 0.969 -1.435 4.065
Ru -1.671 -0.252 1.910
Cs 0.000 0.000 0.000
```

Output
Fermi-level density of states	5.6	states/eV/f.u.
volume	132.8	Å³/cell
magnetic moment	5.99	μB/cell

---

Which structure is most stable? (A), by 1.067 eV/atom over the runner-up.

---

(A)
Entry from Alexandria via LeMat-Bulk: CsRuBr6 after structural relaxation (GGA-PBE).

Cell and atoms, written as extended XYZ:
```
16
Lattice="6.933 0.000 0.000 -3.467 6.228 -1.467 0.000 -0.028 13.142" Properties=species:S:1:pos:R:3 pbc="T T T"
Br 3.139 1.983 6.652
Br 6.038 0.909 4.975
Br -2.572 5.290 6.700
Br 3.795 1.997 0.081
Br 2.572 5.304 0.129
Br 4.077 3.541 3.650
Cs 4.266 -0.021 9.856
Br -0.328 4.202 11.593
Br 0.328 4.217 5.022
Br -0.610 2.659 8.024
Cs 2.668 -0.007 3.285
Br 2.857 3.526 10.221
Ru -1.733 3.100 5.837
Ru 1.733 3.114 -0.734
Br 0.895 0.895 11.546
Br 0.610 2.673 1.454
```

Output
Fermi-level density of states	1.5	states/eV/f.u.
volume	567.2	Å³/cell
magnetic moment	6.20	μB/cell

---

(B)
Entry from Alexandria via LeMat-Bulk: CsRuBr6 after structural relaxation (GGA-PBE).

Cell and atoms, written as extended XYZ:
```
8
Lattice="-1.390 -1.082 6.543 -4.208 -4.438 -2.917 3.306 -5.804 1.074" Properties=species:S:1:pos:R:3 pbc="T T T"
Br -0.420 -2.652 4.870
Br -0.007 -6.450 6.094
Ru 0.000 0.000 0.000
Cs -1.146 -5.662 2.350
Br -2.286 -4.874 -1.394
Br -1.257 -1.881 1.042
Br -1.035 -9.443 3.658
Br -1.873 -8.672 -0.170
```

Output
Fermi-level density of states	1.5	states/eV/f.u.
volume	291.5	Å³/cell
magnetic moment	3.04	μB/cell

---

Which structure is most stable? (A), by 0.020 eV/atom over the runner-up.